Entry 1:
## SiSbRhI2 (PBE-GGA)

Data for a relaxed structure of SiSbRhI2.

Cell lengths 5.451, 5.451, 5.030 Å; angles 90.00, 90.00, 90.00 degrees
Space group P4/mmm (No. 123)
Asymmetric unit:
Si (0.000, 0.000, 0.000) [1 per cell]
Sb (0.500, 0.500, 0.000) [1 per cell]
Rh (0.500, 0.500, 0.500) [1 per cell]
I (0.000, 0.500, 0.500) [2 per cell]

Calculated values
Total moment   0.00 μB per cell
Excess energy over the best structure of this formula in the dataset   0.000 eV per atom
D(E_F)   5.10 states/eV/cell

=====

Entry 2:
## PuTl3Ag2O6 (PBE-GGA)

Data for a relaxed structure of PuTl3Ag2O6.

Cell lengths 6.240, 11.401, 6.178 Å; angles 90.00, 96.91, 90.00 degrees
Space group C2/m (No. 12)
Asymmetric unit:
Pu (0.000, 0.000, 0.000) [2 per cell]
Tl (0.000, 0.177, 0.500) [4 per cell]
Tl (0.000, 0.500, 0.500) [2 per cell]
Ag (0.000, 0.359, 0.000) [4 per cell]
O (0.146, 0.000, 0.722) [4 per cell]
O (0.204, 0.126, 0.142) [8 per cell]

Calculated values
Total moment   1.98 μB per cell

=====

E_form (uncorrected) in eV per atom, matching the order above: 0.65 -1.13